Here is a PBEsol-optimized structure of TiNbSi2B from Alexandria. Energies are from SCAN.

Cell: 4.6966 4.6966 4.1747 Å, 90.00 90.00 90.00°
Sites, in units of the cell vectors:
Ti: 0.0000 0.0000 0.0000
Nb: 0.5000 0.5000 0.5000
Si: 0.0000 0.5000 0.5000
Si: 0.5000 0.0000 0.5000
B: 0.5000 0.5000 0.0000

Results
Crystal system = tetragonal
Size of the total moment = 1.74 μB/f.u.
DOS(E_F) = 2.22 states/eV/cell
Symmetry = No. 123



Here is a PBEsol-optimized structure of Ba2AlZn from Alexandria. Energies are from SCAN.

Cell: 7.2509 7.2509 7.2509 Å, 103.03 103.03 123.30°
Sites, in units of the cell vectors:
Ba: 0.0949 0.6250 0.9699
Ba: 0.3750 0.3449 0.4699
Ba: 0.6551 0.1250 0.0301
Ba: 0.8750 0.9051 0.5301
Al: 0.2500 0.7500 0.5000
Al: 0.5000 0.5000 0.0000
Zn: 0.0000 0.0000 0.0000
Zn: 0.7500 0.2500 0.5000

Results
Crystal system = tetragonal
Size of the total moment = 0.00 μB/f.u.
DOS(E_F) = 9.62 states/eV/cell
ΔH_f (0 K) = 0.264 eV/atom
Symmetry = No. 122



Here is a PBEsol-optimized structure of LiZrHg2 from Alexandria. Energies are from SCAN.

Cell: 3.1538 4.9884 5.0524 Å, 90.00 90.00 90.00°
Sites, in units of the cell vectors:
Li: 0.0000 0.0000 0.0000
Zr: 0.0000 0.5000 0.5412
Hg: 0.5000 0.0000 0.4838
Hg: 0.5000 0.5000 0.0402

Results
Crystal system = orthorhombic
Size of the total moment = 0.46 μB/f.u.
DOS(E_F) = 1.89 states/eV/cell
ΔH_f (0 K) = -0.394 eV/atom
Symmetry = No. 25



Here is a PBEsol-optimized structure of BeCu3 from Alexandria. Energies are from SCAN.

Cell: 3.4778 3.4778 3.4778 Å, 90.00 90.00 90.00°
Sites, in units of the cell vectors:
Be: 0.0000 0.0000 0.0000
Cu: 0.0000 0.5000 0.5000
Cu: 0.5000 0.0000 0.5000
Cu: 0.5000 0.5000 0.0000

Results
Crystal system = cubic
Size of the total moment = 0.00 μB/f.u.
DOS(E_F) = 1.22 states/eV/cell
ΔH_f (0 K) = -0.066 eV/atom
Symmetry = No. 221



no.,E (eV per atom)
1,-14.381
2,-24.828
3,-42.749
4,-12.554